# 1
This record from Alexandria describes CoPbW2 after structural relaxation. The functional is PBE.

Cell: 5.2450 5.2450 5.2450 Å, 141.12 133.16 62.45°
Sites, in units of the cell vectors:
Co 0.7500 0.2500 0.5000
Pb 0.2500 0.7500 0.5000
W 0.9940 0.9940 0.0000
W 0.5060 0.5060 0.0000

Summary:
Formation energy ... 676 meV per atom
D(E_F) ... 2.9 states/eV per cell
Magnetic moment ... 0.001 μB per cell

***

# 2
This record from Alexandria describes CoPbW2 after structural relaxation. The functional is PBE.

Cell: 3.3996 4.2338 4.5776 Å, 90.00 90.00 90.00°
Sites, in units of the cell vectors:
Co 0.5000 0.0000 0.5000
Pb 0.0000 0.5000 0.5000
W 0.0000 0.0000 0.0000
W 0.5000 0.5000 0.0000

Summary:
Formation energy ... 736 meV per atom
D(E_F) ... 2.7 states/eV per cell
Magnetic moment ... 0.677 μB per cell